## HfTaMn2O8 (PBE+U)

Data for crystalline HfTaMn2O8 at its relaxed geometry.

- calculated total energy (eV per cell) = -208.570

Lattice parameters (Å, degrees): 6.614 6.764 6.159 90.00 90.00 90.00
Space group Cmmm (No. 65)
Unique sites:
Hf: 0.000 0.000 0.000 (multiplicity 2)
Ta: 0.000 0.000 0.500 (multiplicity 2)
Mn: 0.000 0.500 0.250 (multiplicity 4)
O: 0.000 0.195 0.259 (multiplicity 8)
O: 0.185 0.500 0.000 (multiplicity 4)
O: 0.192 0.500 0.500 (multiplicity 4)